Entry from Alexandria via LeMat-Bulk: a geometry-optimized Nd3HoSn12 structure (PBE).

POSCAR file:
```
Nd3HoSn12
1.0
4.7757 0.0000 0.0000
0.0000 4.7757 0.0000
0.0000 0.0000 18.8675
Nd Ho Sn
3 1 12
Direct
0.0000 0.0000 0.0000
0.0000 0.0000 0.2517
0.0000 0.0000 0.7483
0.0000 0.0000 0.5000
0.0000 0.5000 0.1263
0.0000 0.5000 0.3789
0.0000 0.5000 0.6211
0.0000 0.5000 0.8737
0.5000 0.0000 0.1263
0.5000 0.0000 0.3789
0.5000 0.0000 0.6211
0.5000 0.0000 0.8737
0.5000 0.5000 0.0000
0.5000 0.5000 0.2526
0.5000 0.5000 0.5000
0.5000 0.5000 0.7474
```

Computed properties:
- energy relative to the elements (eV per atom) = -0.478
- density of states at the Fermi level (states/eV per cell) = 9.0
- magnetic moment (μB/atom) = 0.000
- DFT total energy (eV/atom) = -4.660
- crystal system = tetragonal